## Tc2BiPb (PBE-GGA)

Data for a geometry-optimized Tc2BiPb structure.

The structure in POSCAR format:
```
Tc2BiPb
1.0
0.000 3.370 3.370
3.370 0.000 3.370
3.370 3.370 0.000
Pb Bi Tc
1 1 2
Direct
0.000 0.000 0.000
0.500 0.500 0.500
0.250 0.250 0.250
0.750 0.750 0.750
```

Output
The formation energy comes out at 676.6 meV/atom. Its energy above the most stable polymorph in this dataset is 0.000 eV/atom. Its raw total energy is -6.40 eV per atom. The density of states at the Fermi level is 4.72 states/eV per cell. For the density, the calculation gives 13.29 Mg/m³. Its space group is Fm-3m (225). As for the crystal system: cubic.

## Tc2BiPb (PBE-GGA)

Data for a geometry-optimized Tc2BiPb structure.

The structure in POSCAR format:
```
Tc2BiPb
1.0
-3.013 6.585 2.427
1.475 -1.988 7.225
2.044 3.659 4.626
Pb Bi Tc
2 2 4
Direct
0.500 0.500 0.000
0.250 0.750 0.500
0.000 0.000 0.000
0.750 0.250 0.500
0.627 0.125 0.250
0.123 0.625 0.250
0.375 0.373 0.750
0.875 0.877 0.750
```

Output
The formation energy comes out at 1181.2 meV/atom. Its energy above the most stable polymorph in this dataset is 0.505 eV/atom. Its raw total energy is -5.90 eV per atom. The density of states at the Fermi level is 8.54 states/eV per cell. For the density, the calculation gives 11.13 Mg/m³. Its space group is I-42d (122). As for the crystal system: tetragonal.

## TlTc2BiPb (PBE-GGA)

Data for a geometry-optimized TlTc2BiPb structure.

The structure in POSCAR format:
```
TlTc2BiPb
1.0
5.195 0.000 0.000
0.000 5.838 0.000
0.000 0.000 5.195
Pb Tl Bi Tc
1 1 1 2
Direct
0.500 0.500 0.500
0.000 0.500 0.000
0.000 0.000 0.000
0.000 0.000 0.500
0.500 0.000 0.000
```

Output
The formation energy comes out at 1613.9 meV/atom. Its raw total energy is -4.52 eV per atom. The density of states at the Fermi level is 5.09 states/eV per cell. For the density, the calculation gives 8.61 Mg/m³. Its space group is P4/mmm (123). As for the crystal system: tetragonal.